# GGA-PBEsol LiFeSiO4, relaxed
# uncorrected formation energy: -2049 meV per atom
# energy above the lowest structure with this stoichiometry: 0.0498 eV/atom
# M_tot: 0.603 μB per atom
data_LiFeSiO4
_cell_length_a 5.649
_cell_length_b 5.596
_cell_length_c 5.596
_cell_angle_alpha 61.61
_cell_angle_beta 59.69
_cell_angle_gamma 59.69
_symmetry_space_group_name_H-M 'P 1'
_symmetry_Int_Tables_number 1
loop_
_symmetry_equiv_pos_as_xyz
'x,y,z'
loop_
_atom_site_label
_atom_site_type_symbol
_atom_site_fract_x
_atom_site_fract_y
_atom_site_fract_z
Li1 Li 0.500 0.500 0.000
Li2 Li 0.000 0.500 0.000
Fe1 Fe 0.500 0.500 0.500
Fe2 Fe 0.500 0.000 0.000
Si1 Si 0.866 0.884 0.384
Si2 Si 0.134 0.116 0.616
O1 O 0.745 0.242 0.268
O2 O 0.745 0.768 0.742
O3 O 0.255 0.232 0.258
O4 O 0.255 0.758 0.732
O5 O 0.231 0.758 0.258
O6 O 0.753 0.758 0.258
O7 O 0.247 0.242 0.742
O8 O 0.769 0.242 0.742